Entry 1:
First-principles (PBE-GGA) data for a relaxed structure of Li2AcTcO6, as listed in Alexandria.

Geometry as POSCAR:
```
Li2AcTcO6
1.0
-5.9050 -1.5515 -3.3411
-0.0138 -6.3608 -3.4660
-5.3147 -2.6209 4.1661
Li Ac Tc O
4 2 2 12
Direct
0.2929 0.7096 0.6723
0.2071 0.3277 0.2904
0.7071 0.2904 0.3277
0.7929 0.6723 0.7096
0.2500 0.7744 0.2256
0.7500 0.2256 0.7744
0.2500 0.1999 0.8001
0.7500 0.8001 0.1999
0.1716 0.9992 0.8076
0.3284 0.1924 0.0008
0.8284 0.0008 0.1924
0.6716 0.8076 0.9992
0.4995 0.8168 0.4200
0.0005 0.5800 0.1832
0.5005 0.1832 0.5800
0.9995 0.4200 0.8168
0.0147 0.7962 0.5834
0.4853 0.4166 0.2038
0.9853 0.2038 0.4166
0.5147 0.5834 0.7962
```

Results
Total magnetization, μB/f.u.: 0.08
ΔE_f (raw), kcal/mol of atoms: -43.740
Space-group type: C2/c, No. 15

Entry 2:
First-principles (PBE-GGA) data for a relaxed structure of LiPm2C, as listed in Alexandria.

Geometry as POSCAR:
```
LiPm2C
1.0
-2.7376 2.0894 1.1026
-3.4043 -1.1893 -0.2690
-1.4388 -3.3470 8.6998
C Li Pm
1 1 2
Direct
0.5000 0.5000 0.5000
0.0000 0.0000 0.0000
0.7820 0.7820 0.6540
0.2180 0.2180 0.3460
```

Results
Total magnetization, μB/f.u.: 0.00
Energy of formation from the pure elements, eV/atom: -0.054
Energy above the most stable polymorph in this dataset, meV/atom: 0
Space-group type: R-3m, No. 166

Entry 3:
First-principles (PBE-GGA) data for a relaxed structure of RbTcHgBr6, as listed in Alexandria.

Geometry as POSCAR:
```
RbTcHgBr6
1.0
-1.9628 7.1785 2.8735
-5.5592 -4.5802 -3.4290
-2.3681 -4.6944 10.1098
Rb Tc Hg Br
2 2 2 12
Direct
0.3333 0.6667 0.2500
0.6667 0.3333 0.7500
0.6667 0.3333 0.2500
0.3333 0.6667 0.7500
0.0000 0.0000 0.0000
0.0000 0.0000 0.5000
0.6771 0.5965 0.1194
0.9194 0.3229 0.1194
0.3229 0.9194 0.6194
0.0806 0.6771 0.8806
0.4035 0.3229 0.3806
0.9194 0.5965 0.3806
0.5965 0.9194 0.8806
0.6771 0.0806 0.3806
0.0806 0.4035 0.6194
0.4035 0.0806 0.1194
0.5965 0.6771 0.6194
0.3229 0.4035 0.8806
```

Results
Total magnetization, μB/f.u.: 2.26
ΔE_f (raw), kcal/mol of atoms: -14.013
Space-group type: P-31c, No. 163

Entry 4:
First-principles (PBE-GGA) data for a relaxed structure of YCd2PbO6, as listed in Alexandria.

Geometry as POSCAR:
```
YCd2PbO6
1.0
-5.7614 0.0783 0.0931
-2.9858 -3.3314 -3.6320
-2.9108 -4.8465 2.2675
Y Cd Pb O
1 2 1 6
Direct
0.8100 0.8100 0.5700
0.5275 0.5275 0.4174
0.0238 0.0237 0.9287
0.3148 0.3148 0.0556
0.6063 0.2032 0.2539
0.2032 0.9366 0.2538
0.9365 0.6064 0.2539
0.4204 0.7012 0.7606
0.7012 0.1178 0.7606
0.1178 0.4204 0.7606
```

Results
Total magnetization, μB/f.u.: 1.09
ΔE_f (raw), kcal/mol of atoms: -33.769
Space-group type: R3, No. 146

Entry 5:
First-principles (PBE-GGA) data for a relaxed structure of Dy2Ni4GeAs3, as listed in Alexandria.

Geometry as POSCAR:
```
Dy2Ni4GeAs3
1.0
4.0582 0.0000 0.0000
0.0000 4.0582 0.0000
0.0000 0.0000 9.7623
Dy Ni Ge As
2 4 1 3
Direct
0.5000 0.0000 0.2446
0.0000 0.5000 0.7554
0.5000 0.5000 0.0000
0.0000 0.0000 0.0000
0.5000 0.0000 0.6293
0.0000 0.5000 0.3707
0.5000 0.5000 0.5000
0.0000 0.0000 0.5000
0.5000 0.0000 0.8674
0.0000 0.5000 0.1326
```

Results
Total magnetization, μB/f.u.: 0.00
Energy of formation from the pure elements, eV/atom: -0.784
Space-group type: P-4m2, No. 115

Entry 6:
First-principles (PBE-GGA) data for a relaxed structure of CaAs2Ru2, as listed in Alexandria.

Geometry as POSCAR:
```
CaAs2Ru2
1.0
-1.3503 -3.3265 -6.5849
5.3657 -5.0371 1.4443
-2.0343 -1.7883 1.3206
Ru As Ca
4 4 2
Direct
0.1374 0.6374 0.5000
0.6374 0.8626 0.5000
0.8626 0.3626 0.5000
0.3626 0.1374 0.5000
0.3540 0.8540 0.0000
0.8540 0.6460 0.0000
0.6460 0.1460 0.0000
0.1460 0.3540 0.0000
0.0000 0.0000 0.0000
0.5000 0.5000 0.0000
```

Results
Total magnetization, μB/f.u.: 0.00
Energy of formation from the pure elements, eV/atom: -0.206
Space-group type: P4/mbm, No. 127

Entry 7:
First-principles (PBE-GGA) data for a relaxed structure of LiBrOF2, as listed in Alexandria.

Geometry as POSCAR:
```
LiBrOF2
1.0
-1.9148 -1.9717 -3.6026
-0.5939 -3.8002 2.3955
-3.5795 1.3076 1.1869
Li O Br F
1 1 1 2
Direct
0.5000 0.5000 0.5000
0.0000 0.0000 0.5000
0.0000 0.0000 0.0000
0.0000 0.5000 0.0000
0.5000 0.0000 0.0000
```

Results
Total magnetization, μB/f.u.: 0.00
ΔE_f (raw), kcal/mol of atoms: -16.223
Energy above the most stable polymorph in this dataset, meV/atom: 0
Space-group type: P4/mmm, No. 123

Entry 8:
First-principles (PBE-GGA) data for a relaxed structure of TiInCo2Ag, as listed in Alexandria.

Geometry as POSCAR:
```
TiInCo2Ag
1.0
-2.6459 2.1073 3.2372
2.2755 -2.4111 3.4295
3.1514 3.4466 0.3321
Ti Co Ag In
1 2 1 1
Direct
0.0000 0.5000 0.0000
0.0000 0.0000 0.5000
0.5000 0.0000 0.0000
0.0000 0.0000 0.0000
0.5000 0.5000 0.5000
```

Results
Total magnetization, μB/f.u.: 3.98
Energy of formation from the pure elements, eV/atom: 1.224
Space-group type: P4/mmm, No. 123